Material: Cr3Fe2Sb3O16
Method: DFT, PBE+U
State: optimized geometry

## Properties
DFT total energy: -0.48552 Ry/atom

Unit cell a=10.474 b=6.055 c=9.177 alpha=90.00 beta=90.84 gamma=90.00
Space group Cm (No. 8)
Inequivalent atoms, fractional coordinates:
Cr 0.000 0.000 0.000 x2
Cr 0.414 0.249 0.500 x4
Fe 0.156 0.000 0.287 x2
Fe 0.485 0.000 0.779 x2
Sb 0.162 0.500 0.503 x2
Sb 0.248 0.248 0.003 x4
O 0.063 0.281 0.626 x4
O 0.094 0.218 0.127 x4
O 0.164 0.500 0.890 x2
O 0.165 0.000 0.884 x2
O 0.250 0.249 0.395 x4
O 0.314 0.000 0.133 x2
O 0.332 0.500 0.606 x2
O 0.333 0.500 0.112 x2
O 0.355 0.000 0.612 x2
O 0.409 0.250 0.892 x4
O 0.493 0.500 0.402 x2
O 0.496 0.000 0.388 x2